Entry 1:
Cs2TlPdBr | PBE | optimized geometry

CIF file:
```
data_Cs2TlPdBr
_symmetry_space_group_name_H-M 'P 4/m m m'
_symmetry_Int_Tables_number 123
_symmetry_space_group_name_Hall '-P 4 2'
_cell_length_a 6.6440
_cell_length_b 6.6440
_cell_length_c 5.2998
_cell_angle_alpha 90.00
_cell_angle_beta 90.00
_cell_angle_gamma 90.00
loop_
_atom_site_label
_atom_site_fract_x
_atom_site_fract_y
_atom_site_fract_z
Cs1 0.0000 0.5000 0.0000
Tl1 0.0000 0.0000 0.5000
Pd1 0.0000 0.0000 0.0000
Br1 0.5000 0.5000 0.5000
```

Summary:
DOS(E_F) in states/eV/f.u.: 1.13
E in eV per atom: -2.781



Entry 2:
Cs2Tl2PdBr4 | PBE | optimized geometry

CIF file:
```
data_Cs2Tl2PdBr4
_symmetry_space_group_name_H-M 'I 4/m m m'
_symmetry_Int_Tables_number 139
_symmetry_space_group_name_Hall '-I 4 2'
_cell_length_a 8.3532
_cell_length_b 8.3532
_cell_length_c 8.8830
_cell_angle_alpha 90.00
_cell_angle_beta 90.00
_cell_angle_gamma 90.00
loop_
_atom_site_label
_atom_site_fract_x
_atom_site_fract_y
_atom_site_fract_z
Cs1 0.0000 0.5000 0.2500
Tl1 0.0000 0.0000 0.1869
Pd1 0.0000 0.0000 0.5000
Br1 0.2426 0.2426 0.5000
```

Summary:
DOS(E_F) in states/eV/f.u.: 0.01
E in eV per atom: -3.033



Entry 3:
Cs4TlPd3Br12 | PBE | optimized geometry

CIF file:
```
data_Cs4TlPd3Br12
_symmetry_space_group_name_H-M 'I m -3 m'
_symmetry_Int_Tables_number 229
_symmetry_space_group_name_Hall '-I 4 2 3'
_cell_length_a 10.9876
_cell_length_b 10.9876
_cell_length_c 10.9876
_cell_angle_alpha 90.00
_cell_angle_beta 90.00
_cell_angle_gamma 90.00
loop_
_atom_site_label
_atom_site_fract_x
_atom_site_fract_y
_atom_site_fract_z
Cs1 0.2500 0.2500 0.2500
Tl1 0.0000 0.0000 0.0000
Pd1 0.0000 0.0000 0.5000
Br1 0.0000 0.0000 0.2727
Br2 0.0000 0.2500 0.5000
```

Summary:
DOS(E_F) in states/eV/f.u.: 6.07
E in eV per atom: -3.041



Entry 4:
CsV2PdBr | PBE | optimized geometry

CIF file:
```
data_CsV2PdBr
_symmetry_space_group_name_H-M 'P 4/m m m'
_symmetry_Int_Tables_number 123
_symmetry_space_group_name_Hall '-P 4 2'
_cell_length_a 5.6566
_cell_length_b 5.6566
_cell_length_c 6.0475
_cell_angle_alpha 90.00
_cell_angle_beta 90.00
_cell_angle_gamma 90.00
loop_
_atom_site_label
_atom_site_fract_x
_atom_site_fract_y
_atom_site_fract_z
Cs1 0.0000 0.0000 0.0000
V1 0.0000 0.5000 0.0000
Pd1 0.5000 0.5000 0.5000
Br1 0.0000 0.0000 0.5000
```

Summary:
DOS(E_F) in states/eV/f.u.: 9.14
E in eV per atom: -3.118



Entry 5:
Cs2YPdBr6 | PBE | optimized geometry

CIF file:
```
data_Cs2YPdBr6
_symmetry_space_group_name_H-M 'I 4/m m m'
_symmetry_Int_Tables_number 139
_symmetry_space_group_name_Hall '-I 4 2'
_cell_length_a 8.0291
_cell_length_b 8.0291
_cell_length_c 11.0020
_cell_angle_alpha 90.00
_cell_angle_beta 90.00
_cell_angle_gamma 90.00
loop_
_atom_site_label
_atom_site_fract_x
_atom_site_fract_y
_atom_site_fract_z
Cs1 0.0000 0.5000 0.2500
Y1 0.0000 0.0000 0.0000
Pd1 0.0000 0.0000 0.5000
Br1 0.0000 0.0000 0.2561
Br2 0.2471 0.2471 0.0000
```

Summary:
DOS(E_F) in states/eV/f.u.: 3.72
E in eV per atom: -3.788



Entry 6:
Cs3Pm2Br8 | PBE | optimized geometry

CIF file:
```
data_Cs3Pm2Br8
_symmetry_space_group_name_H-M 'R -3 m'
_symmetry_Int_Tables_number 166
_symmetry_space_group_name_Hall '-R 3 2"'
_cell_length_a 8.3967
_cell_length_b 8.3967
_cell_length_c 31.0844
_cell_angle_alpha 90.00
_cell_angle_beta 90.00
_cell_angle_gamma 120.00
loop_
_atom_site_label
_atom_site_fract_x
_atom_site_fract_y
_atom_site_fract_z
Cs1 0.0000 0.0000 0.0000
Cs2 0.0000 0.0000 0.1986
Pm1 0.0000 0.0000 0.4018
Br1 0.0000 0.0000 0.3128
Br2 0.0198 0.5099 0.7690
```

Summary:
DOS(E_F) in states/eV/f.u.: 7.83
E in eV per atom: -3.619



Entry 7:
Cs4PmBr6 | PBE | optimized geometry

CIF file:
```
data_Cs4PmBr6
_symmetry_space_group_name_H-M 'P 4/m n c'
_symmetry_Int_Tables_number 128
_symmetry_space_group_name_Hall '-P 4 2n'
_cell_length_a 10.0214
_cell_length_b 10.0214
_cell_length_c 10.2749
_cell_angle_alpha 90.00
_cell_angle_beta 90.00
_cell_angle_gamma 90.00
loop_
_atom_site_label
_atom_site_fract_x
_atom_site_fract_y
_atom_site_fract_z
Cs1 0.1717 0.3283 0.2500
Pm1 0.0000 0.0000 0.0000
Br1 0.0000 0.0000 0.2841
Br2 0.0919 0.7117 0.0000
```

Summary:
DOS(E_F) in states/eV/f.u.: 5.63
E in eV per atom: -3.348



Entry 8:
Cs2Pm3Br10 | PBE | optimized geometry

CIF file:
```
data_Cs2Pm3Br10
_symmetry_space_group_name_H-M 'C 1 2/m 1'
_symmetry_Int_Tables_number 12
_cell_length_a 27.4395
_cell_length_b 8.1114
_cell_length_c 11.4714
_cell_angle_alpha 90.00
_cell_angle_beta 111.66
_cell_angle_gamma 90.00
loop_
_symmetry_equiv_pos_as_xyz
'x,y,z'
'-x,-y,-z'
'-x,y,-z'
'x,-y,z'
'x+1/2,y+1/2,z'
'-x+1/2,-y+1/2,-z'
'-x+1/2,y+1/2,-z'
'x+1/2,-y+1/2,z'
loop_
_atom_site_label
_atom_site_fract_x
_atom_site_fract_y
_atom_site_fract_z
Cs1 0.1197 0.0000 0.2316
Cs2 0.2282 0.0000 0.8389
Pm1 0.0000 0.2340 0.5000
Pm2 0.0774 0.5000 0.9733
Pm3 0.1796 0.5000 0.5302
Br1 0.0000 0.2627 0.0000
Br2 0.0144 0.0000 0.7018
Br3 0.0198 0.5000 0.7006
Br4 0.1126 0.2330 0.5453
Br5 0.1259 0.5000 0.2530
Br6 0.1463 0.2467 0.9789
Br7 0.2348 0.5000 0.7873
Br8 0.2500 0.2500 0.5000
```

Summary:
DOS(E_F) in states/eV/f.u.: 3.09
E in eV per atom: -3.986



Entry 9:
Cs2Pm3Br8 | PBE | optimized geometry

CIF file:
```
data_Cs2Pm3Br8
_symmetry_space_group_name_H-M 'C 1 2/m 1'
_symmetry_Int_Tables_number 12
_cell_length_a 18.3051
_cell_length_b 8.2293
_cell_length_c 7.0539
_cell_angle_alpha 90.00
_cell_angle_beta 101.91
_cell_angle_gamma 90.00
loop_
_symmetry_equiv_pos_as_xyz
'x,y,z'
'-x,-y,-z'
'-x,y,-z'
'x,-y,z'
'x+1/2,y+1/2,z'
'-x+1/2,-y+1/2,-z'
'-x+1/2,y+1/2,-z'
'x+1/2,-y+1/2,z'
loop_
_atom_site_label
_atom_site_fract_x
_atom_site_fract_y
_atom_site_fract_z
Cs1 0.2435 0.0000 0.1812
Pm1 0.0000 0.2818 0.5000
Pm2 0.0000 0.5000 0.0000
Br1 0.0919 0.0000 0.4116
Br2 0.0987 0.2504 0.8897
Br3 0.1161 0.5000 0.3761
```

Summary:
DOS(E_F) in states/eV/f.u.: 5.66
E in eV per atom: -3.939



Entry 10:
Cs5Pm2Br12 | PBE | optimized geometry

CIF file:
```
data_Cs5Pm2Br12
_symmetry_space_group_name_H-M 'C 1 2/m 1'
_symmetry_Int_Tables_number 12
_cell_length_a 17.4954
_cell_length_b 11.2321
_cell_length_c 8.9104
_cell_angle_alpha 90.00
_cell_angle_beta 102.54
_cell_angle_gamma 90.00
loop_
_symmetry_equiv_pos_as_xyz
'x,y,z'
'-x,-y,-z'
'-x,y,-z'
'x,-y,z'
'x+1/2,y+1/2,z'
'-x+1/2,-y+1/2,-z'
'-x+1/2,y+1/2,-z'
'x+1/2,-y+1/2,z'
loop_
_atom_site_label
_atom_site_fract_x
_atom_site_fract_y
_atom_site_fract_z
Cs1 0.0000 0.0000 0.0000
Cs2 0.1346 0.5000 0.0182
Cs3 0.2468 0.0000 0.4697
Pm1 0.0000 0.2743 0.5000
Br1 0.0353 0.5000 0.3374
Br2 0.0643 0.0000 0.6199
Br3 0.0964 0.2078 0.2817
Br4 0.1483 0.2911 0.7279
```

Summary:
E in eV per atom: -3.472



Entry 11:
CsPmBr3 | PBE | optimized geometry

CIF file:
```
data_CsPmBr3
_symmetry_space_group_name_H-M 'P m -3 m'
_symmetry_Int_Tables_number 221
_symmetry_space_group_name_Hall '-P 4 2 3'
_cell_length_a 5.8120
_cell_length_b 5.8120
_cell_length_c 5.8120
_cell_angle_alpha 90.00
_cell_angle_beta 90.00
_cell_angle_gamma 90.00
loop_
_atom_site_label
_atom_site_fract_x
_atom_site_fract_y
_atom_site_fract_z
Cs1 0.0000 0.0000 0.0000
Pm1 0.5000 0.5000 0.5000
Br1 0.0000 0.5000 0.5000
```

Summary:
Energy above the most stable polymorph in this dataset in eV per formula unit: 0.36
DOS(E_F) in states/eV/f.u.: 3.27



Entry 12:
CsPm3Br10 | PBE | optimized geometry

CIF file:
```
data_CsPm3Br10
_symmetry_space_group_name_H-M 'F m -3 m'
_symmetry_Int_Tables_number 225
_symmetry_space_group_name_Hall '-F 4 2 3'
_cell_length_a 15.3452
_cell_length_b 15.3452
_cell_length_c 15.3452
_cell_angle_alpha 90.00
_cell_angle_beta 90.00
_cell_angle_gamma 90.00
loop_
_atom_site_label
_atom_site_fract_x
_atom_site_fract_y
_atom_site_fract_z
Cs1 0.2500 0.2500 0.2500
Pm1 0.0000 0.0000 0.2401
Br1 0.0000 0.1684 0.3316
Br2 0.1142 0.1142 0.1142
```

Summary:
DOS(E_F) in states/eV/f.u.: 0.00
E in eV per atom: -4.100



Entry 13:
Cs6Pm3Br14 | PBE | optimized geometry

CIF file:
```
data_Cs6Pm3Br14
_symmetry_space_group_name_H-M 'P 3'
_symmetry_Int_Tables_number 143
_cell_length_a 13.2919
_cell_length_b 13.2919
_cell_length_c 7.0840
_cell_angle_alpha 90.00
_cell_angle_beta 90.00
_cell_angle_gamma 120.00
loop_
_symmetry_equiv_pos_as_xyz
'x,y,z'
'-y,x-y,z'
'-x+y,-x,z'
loop_
_atom_site_label
_atom_site_fract_x
_atom_site_fract_y
_atom_site_fract_z
Cs1 0.0255 0.5692 0.0000
Cs2 0.3062 0.0933 0.5277
Pm1 0.0000 0.0000 0.9491
Pm2 0.3333 0.6667 0.4273
Pm3 0.6667 0.3333 0.2731
Br1 0.0000 0.0000 0.3440
Br2 0.0703 0.8483 0.8099
Br3 0.1838 0.4433 0.2955
Br4 0.3333 0.6667 0.8229
Br5 0.4576 0.1957 0.0495
Br6 0.5272 0.4032 0.4952
```

Summary:
DOS(E_F) in states/eV/f.u.: 10.32
E in eV per atom: -3.624



Entry 14:
Cs3PmBr8 | PBE | optimized geometry

CIF file:
```
data_Cs3PmBr8
_symmetry_space_group_name_H-M 'I 4/m m m'
_symmetry_Int_Tables_number 139
_symmetry_space_group_name_Hall '-I 4 2'
_cell_length_a 8.1547
_cell_length_b 8.1547
_cell_length_c 16.4560
_cell_angle_alpha 90.00
_cell_angle_beta 90.00
_cell_angle_gamma 90.00
loop_
_atom_site_label
_atom_site_fract_x
_atom_site_fract_y
_atom_site_fract_z
Cs1 0.0000 0.0000 0.0000
Cs2 0.0000 0.5000 0.2500
Pm1 0.0000 0.0000 0.5000
Br1 0.2135 0.2135 0.3926
```

Summary:
DOS(E_F) in states/eV/f.u.: 16.52
E in eV per atom: -3.126



Entry 15:
CsPmBr2 | PBE | optimized geometry

CIF file:
```
data_CsPmBr2
_symmetry_space_group_name_H-M 'R -3 m'
_symmetry_Int_Tables_number 166
_symmetry_space_group_name_Hall '-R 3 2"'
_cell_length_a 4.0076
_cell_length_b 4.0076
_cell_length_c 33.3512
_cell_angle_alpha 90.00
_cell_angle_beta 90.00
_cell_angle_gamma 120.00
loop_
_atom_site_label
_atom_site_fract_x
_atom_site_fract_y
_atom_site_fract_z
Cs1 0.0000 0.0000 0.0000
Pm1 0.0000 0.0000 0.5000
Br1 0.0000 0.0000 0.1064
```

Summary:
DOS(E_F) in states/eV/f.u.: 3.11
E in eV per atom: -3.394



Entry 16:
CsPmBr3 | PBE | optimized geometry

CIF file:
```
data_CsPmBr3
_symmetry_space_group_name_H-M 'P 63 c m'
_symmetry_Int_Tables_number 185
_symmetry_space_group_name_Hall 'P 6c -2'
_cell_length_a 14.2927
_cell_length_b 14.2927
_cell_length_c 6.7107
_cell_angle_alpha 90.00
_cell_angle_beta 90.00
_cell_angle_gamma 120.00
loop_
_atom_site_label
_atom_site_fract_x
_atom_site_fract_y
_atom_site_fract_z
Cs1 0.0000 0.3348 0.0000
Pm1 0.0000 0.0000 0.2139
Pm2 0.3333 0.6667 0.2643
Br1 0.0000 0.1718 0.4637
Br2 0.1613 0.4944 0.5144
```

Summary:
Energy above the most stable polymorph in this dataset in eV per formula unit: 0.00
DOS(E_F) in states/eV/f.u.: 1.99



Entry 17:
Cs4PmBr7 | PBE | optimized geometry

CIF file:
```
data_Cs4PmBr7
_symmetry_space_group_name_H-M 'C 1 2/m 1'
_symmetry_Int_Tables_number 12
_cell_length_a 18.5975
_cell_length_b 5.6806
_cell_length_c 14.1612
_cell_angle_alpha 90.00
_cell_angle_beta 128.46
_cell_angle_gamma 90.00
loop_
_symmetry_equiv_pos_as_xyz
'x,y,z'
'-x,-y,-z'
'-x,y,-z'
'x,-y,z'
'x+1/2,y+1/2,z'
'-x+1/2,-y+1/2,-z'
'-x+1/2,y+1/2,-z'
'x+1/2,-y+1/2,z'
loop_
_atom_site_label
_atom_site_fract_x
_atom_site_fract_y
_atom_site_fract_z
Cs1 0.1090 0.0000 0.2617
Cs2 0.2356 0.0000 0.8673
Pm1 0.0000 0.5000 0.5000
Br1 0.0000 0.0000 0.5000
Br2 0.0513 0.5000 0.7289
Br3 0.1274 0.0000 0.0144
Br4 0.2293 0.0000 0.6090
```

Summary:
DOS(E_F) in states/eV/f.u.: 0.00
E in eV per atom: -3.283